[1]
# AcHoBiO5, relaxed, DFT PBE
# DOS(E_F) ... 8.86 states/eV per cell
# ρ ... 7.72 g cm⁻³
# Total energy ... -227.46 eV/cell
data_AcHoBiO5
_cell_length_a 7.890
_cell_length_b 10.065
_cell_length_c 8.338
_cell_angle_alpha 90.00
_cell_angle_beta 117.77
_cell_angle_gamma 90.00
_symmetry_space_group_name_H-M 'C 1 2/c 1'
_symmetry_Int_Tables_number 15
_symmetry_space_group_name_Hall '-C 2yc'
loop_
_atom_site_label
_atom_site_fract_x
_atom_site_fract_y
_atom_site_fract_z
Ac1 0.000 0.188 0.250
Ho1 0.000 0.500 0.000
Bi1 0.000 0.185 0.750
O1 0.000 0.422 0.250
O2 0.113 0.284 0.584
O3 0.188 0.040 0.917

[2]
# Ca4P2O9, relaxed, DFT PBE
# DOS(E_F) ... 0.00 states/eV per cell
# ρ ... 2.98 g cm⁻³
# Total energy ... -428.27 eV/cell
data_Ca4P2O9
_cell_length_a 7.063
_cell_length_b 12.108
_cell_length_c 9.550
_cell_angle_alpha 90.00
_cell_angle_beta 90.92
_cell_angle_gamma 90.00
_symmetry_space_group_name_H-M 'P 1 21 1'
_symmetry_Int_Tables_number 4
_symmetry_space_group_name_Hall 'P 2yb'
loop_
_atom_site_label
_atom_site_fract_x
_atom_site_fract_y
_atom_site_fract_z
Ca1 0.010 0.000 0.364
Ca2 0.034 0.227 0.897
Ca3 0.227 0.766 0.472
Ca4 0.249 0.490 0.012
Ca5 0.260 0.966 0.743
Ca6 0.270 0.270 0.250
Ca7 0.468 0.773 0.102
Ca8 0.485 0.018 0.409
P1 0.232 0.678 0.786
P2 0.236 0.529 0.319
P3 0.236 0.993 0.090
P4 0.291 0.245 0.623
O1 0.043 0.702 0.706
O2 0.076 0.453 0.265
O3 0.082 0.043 0.992
O4 0.097 0.307 0.622
O5 0.160 0.884 0.159
O6 0.214 0.566 0.474
O7 0.229 0.706 0.944
O8 0.233 0.942 0.510
O9 0.243 0.636 0.227
O10 0.266 0.308 0.016
O11 0.270 0.551 0.775
O12 0.286 0.071 0.214
O13 0.287 0.162 0.749
O14 0.328 0.188 0.483
O15 0.386 0.747 0.712
O16 0.412 0.964 0.000
O17 0.420 0.461 0.307
O18 0.459 0.327 0.657